A plane-wave DFT calculation with PBE was carried out for crystalline La3Se at its relaxed geometry.

Cell lengths 3.926, 6.530, 10.011 Å; angles 90.00, 90.00, 90.00 degrees
Fractional coordinates of all 8 atoms:
La: 0.000 0.745 0.158
La: 0.000 0.500 0.575
Se: 0.500 0.500 0.340
Se: 0.000 0.000 0.660
La: 0.500 0.755 0.842
La: 0.500 0.000 0.425
La: 0.000 0.255 0.158
La: 0.500 0.245 0.842

Values from the calculation:
formation energy without anion corrections: -3.13 eV/f.u.
space-group type: Pmmn
V: 256.6 Å³ per cell